[1]
This record from Alexandria via LeMat-Bulk describes an optimized crystal structure of Na2ZnI4. The functional is GGA-PBE.

It has space group I4/mmm (No. 139), with a = 5.8518 Å, b = 5.8518 Å, c = 15.5875 Å, α = 90.00°, β = 90.00° and γ = 90.00°. The asymmetric unit holds Na at (0.0000, 0.0000, 0.1255), Zn at (0.0000, 0.0000, 0.5000), I at (0.0000, 0.0000, 0.3247) and I at (0.0000, 0.5000, 0.0000).

For the theoretical density, the calculation gives 3.85 g/cm³. For the total energy, the calculation gives -2.22 eV per atom. The calculation puts the formation energy from raw total energies at -0.771 eV per atom. Its offset from the most stable computed form is 176 meV/atom. Its calculated volume is 533.8 Å³/cell.

[2]
This record from Alexandria via LeMat-Bulk describes an optimized crystal structure of ThGePd6. The functional is GGA-PBE.

It has space group R-3m (No. 166, hexagonal axes), with a = 5.5253 Å, b = 5.5253 Å, c = 18.8891 Å, α = 90.00°, β = 90.00° and γ = 120.00°. The asymmetric unit holds Th at (0.0000, 0.0000, 0.0000), Ge at (0.0000, 0.0000, 0.5000) and Pd at (0.0088, 0.5044, 0.9280).

For the theoretical density, the calculation gives 9.41 g/cm³. For the total energy, the calculation gives -5.78 eV per atom. Its offset from the most stable computed form is 199 meV/atom. Its calculated volume is 499.4 Å³/cell.

[3]
This record from Alexandria via LeMat-Bulk describes an optimized crystal structure of Tb6InFe2. The functional is GGA-PBE.

It has space group Immm (No. 71), with a = 9.5025 Å, b = 9.7256 Å, c = 10.0733 Å, α = 90.00°, β = 90.00° and γ = 90.00°. The asymmetric unit holds Tb at (0.0000, 0.2143, 0.2283), Tb at (0.2027, 0.5000, 0.1889), Tb at (0.2102, 0.3111, 0.5000), In at (0.0000, 0.0000, 0.0000), In at (0.0000, 0.0000, 0.5000), Fe at (0.0000, 0.3871, 0.0000) and Fe at (0.0000, 0.5000, 0.3922).

For the theoretical density, the calculation gives 8.42 g/cm³. For the total energy, the calculation gives -5.42 eV per atom. Its calculated volume is 930.9 Å³/cell.

Question: Which of these has the lowest calculated volume?
Answer: ThGePd6

What did the second record say?
This record from Alexandria via LeMat-Bulk describes an optimized crystal structure of ThGePd6. The functional is GGA-PBE.

It has space group R-3m (No. 166, hexagonal axes), with a = 5.5253 Å, b = 5.5253 Å, c = 18.8891 Å, α = 90.00°, β = 90.00° and γ = 120.00°. The asymmetric unit holds Th at (0.0000, 0.0000, 0.0000), Ge at (0.0000, 0.0000, 0.5000) and Pd at (0.0088, 0.5044, 0.9280).

For the theoretical density, the calculation gives 9.41 g/cm³. For the total energy, the calculation gives -5.78 eV per atom. Its offset from the most stable computed form is 199 meV/atom. Its calculated volume is 499.4 Å³/cell.

Question: Which formula does entry 1 have?
Answer: Na2ZnI4

Question: The lowest calculated volume belongs to which entry?
Answer: ThGePd6